{
  "formula": "ScCl2O",
  "functional": "SCAN",
  "state": "PBEsol geometry",
  "e_form_raw_ev_per_atom": -1.9844,
  "relative_energy_mev_per_atom": 0,
  "sg": "No. 122",
  "cell": [[3.994, 0.000, 0.000], [1.997, 6.563, 0.000], [1.997, 0.000, 6.563]],
  "species": ["Cl", "Sc", "Cl", "O", "Cl", "Cl", "O", "Sc"],
  "frac_coords": [[0.966, 0.159, 0.659], [0.750, 0.500, 0.500], [0.875, 0.341, 0.159], [0.250, 0.500, 0.500], [0.375, 0.659, 0.841], [0.784, 0.841, 0.341], [0.500, 0.000, 0.000], [0.000, 0.000, 0.000]]
}